## Ba2SrBr (PBEsol)

Data for a relaxed Ba2SrBr crystal.

a = 3.9766 Å, b = 3.9766 Å, c = 11.2091 Å
α = 90.00°, β = 90.00°, γ = 90.00°
Space group P4mm (No. 99)
Asymmetric unit:
1 Ba 0.0000 0.0000 0.0000 [1 per cell]
2 Ba 0.5000 0.5000 0.3106 [1 per cell]
3 Sr 0.5000 0.5000 0.7076 [1 per cell]
4 Br 0.0000 0.0000 0.5149 [1 per cell]

Calculated values
The uncorrected energy is -10.66 eV/cell. The polymorph energy (0 for the lowest one) comes out at 2.22 kcal/mol of atoms. The calculation puts the raw formation energy at -63.90 kJ/mol of atoms.

## Ca2ZnAs (PBEsol)

Data for a relaxed Ca2ZnAs crystal.

a = 4.1281 Å, b = 4.2360 Å, c = 10.9533 Å
α = 90.00°, β = 90.00°, γ = 90.00°
Space group Amm2 (No. 38)
Asymmetric unit:
1 Ca 0.0000 0.0000 0.0000 [2 per cell]
2 Ca 0.5000 0.0000 0.2795 [2 per cell]
3 Zn 0.0000 0.0000 0.7145 [2 per cell]
4 As 0.5000 0.0000 0.5631 [2 per cell]

Calculated values
For the calculated formation energy, the calculation gives -0.76 eV per atom. The uncorrected energy is -27.97 eV/cell. The polymorph energy (0 for the lowest one) comes out at 0.00 kcal/mol of atoms.

## AlCrCo2 (PBEsol)

Data for a relaxed AlCrCo2 crystal.

a = 2.5526 Å, b = 2.5526 Å, c = 23.6195 Å
α = 90.00°, β = 90.00°, γ = 120.00°
Space group R-3m (No. 166, hexagonal axes)
Asymmetric unit:
1 Al 0.0000 0.0000 0.0000 [3 per cell]
2 Cr 0.0000 0.0000 0.5000 [3 per cell]
3 Co 0.0000 0.0000 0.2484 [6 per cell]

Calculated values
For the calculated formation energy, the calculation gives -0.02 eV per atom. The uncorrected energy is -89.61 eV/cell.

## NaSn2P3O12 (PBEsol)

Data for a relaxed NaSn2P3O12 crystal.

a = 8.6899 Å, b = 8.6899 Å, c = 22.3441 Å
α = 90.00°, β = 90.00°, γ = 120.00°
Space group R-3c (No. 167, hexagonal axes)
Asymmetric unit:
1 Na 0.0000 0.0000 0.0000 [6 per cell]
2 Sn 0.0000 0.0000 0.1455 [12 per cell]
3 P 0.0000 0.2925 0.2500 [18 per cell]
4 O 0.0195 0.2066 0.1928 [36 per cell]
5 O 0.0223 0.1882 0.9146 [36 per cell]

Calculated values
The uncorrected energy is -767.21 eV/cell. The polymorph energy (0 for the lowest one) comes out at 0.00 kcal/mol of atoms. The calculation puts the raw formation energy at -201.46 kJ/mol of atoms.

## KMgIn2 (PBEsol)

Data for a relaxed KMgIn2 crystal.

a = 5.1683 Å, b = 5.1683 Å, c = 4.1939 Å
α = 90.00°, β = 90.00°, γ = 90.00°
Space group P4/mmm (No. 123)
Asymmetric unit:
1 K 0.0000 0.0000 0.0000 [1 per cell]
2 Mg 0.5000 0.5000 0.0000 [1 per cell]
3 In 0.0000 0.5000 0.5000 [2 per cell]

Calculated values
For the calculated formation energy, the calculation gives 0.07 eV per atom. The uncorrected energy is -8.52 eV/cell.

## Hf3CrAs (PBEsol)

Data for a relaxed Hf3CrAs crystal.

a = 4.8748 Å, b = 4.8748 Å, c = 4.8748 Å
α = 90.00°, β = 90.00°, γ = 90.00°
Space group Pm-3m (No. 221)
Asymmetric unit:
1 Hf 0.0000 0.0000 0.5000 [3 per cell]
2 Cr 0.5000 0.5000 0.5000 [1 per cell]
3 As 0.0000 0.0000 0.0000 [1 per cell]

Calculated values
For the calculated formation energy, the calculation gives 0.52 eV per atom. The uncorrected energy is -44.27 eV/cell.

## Al2ZnIn (PBEsol)

Data for a relaxed Al2ZnIn crystal.

a = 7.6030 Å, b = 7.6030 Å, c = 5.4955 Å
α = 90.00°, β = 90.00°, γ = 90.00°
Space group I-42d (No. 122)
Asymmetric unit:
1 Al 0.2144 0.7500 0.1250 [8 per cell]
2 Zn 0.0000 0.0000 0.0000 [4 per cell]
3 In 0.0000 0.0000 0.5000 [4 per cell]

Calculated values
For the calculated formation energy, the calculation gives 0.25 eV per atom. The uncorrected energy is -47.06 eV/cell.

## Co3ReMo (PBEsol)

Data for a relaxed Co3ReMo crystal.

a = 4.2072 Å, b = 4.2072 Å, c = 4.2072 Å
α = 90.00°, β = 90.00°, γ = 90.00°
Space group Pm-3m (No. 221)
Asymmetric unit:
1 Co 0.0000 0.0000 0.5000 [3 per cell]
2 Re 0.5000 0.5000 0.5000 [1 per cell]
3 Mo 0.0000 0.0000 0.0000 [1 per cell]

Calculated values
For the calculated formation energy, the calculation gives 1.90 eV per atom. The uncorrected energy is -38.79 eV/cell.

## Mg2InPb2 (PBEsol)

Data for a relaxed Mg2InPb2 crystal.

a = 8.8682 Å, b = 8.8682 Å, c = 3.3112 Å
α = 90.00°, β = 90.00°, γ = 90.00°
Space group P4/mbm (No. 127)
Asymmetric unit:
1 Mg 0.1374 0.3626 0.0000 [4 per cell]
2 In 0.0000 0.0000 0.5000 [2 per cell]
3 Pb 0.1601 0.6601 0.5000 [4 per cell]

Calculated values
For the calculated formation energy, the calculation gives -0.01 eV per atom. The uncorrected energy is -28.94 eV/cell.

## YZr2Fe (PBEsol)

Data for a relaxed YZr2Fe crystal.

a = 3.2072 Å, b = 3.2072 Å, c = 7.9707 Å
α = 90.00°, β = 90.00°, γ = 90.00°
Space group P4/mmm (No. 123)
Asymmetric unit:
1 Y 0.0000 0.0000 0.0000 [1 per cell]
2 Zr 0.5000 0.5000 0.3141 [2 per cell]
3 Fe 0.0000 0.0000 0.5000 [1 per cell]

Calculated values
For the calculated formation energy, the calculation gives 0.04 eV per atom. The uncorrected energy is -33.80 eV/cell. The polymorph energy (0 for the lowest one) comes out at 0.00 kcal/mol of atoms.

## LaHoIn2 (PBEsol)

Data for a relaxed LaHoIn2 crystal.

a = 7.5749 Å, b = 7.5749 Å, c = 7.5749 Å
α = 90.00°, β = 90.00°, γ = 90.00°
Space group Fm-3m (No. 225)
Asymmetric unit:
1 La 0.0000 0.0000 0.0000 [4 per cell]
2 Ho 0.0000 0.0000 0.5000 [4 per cell]
3 In 0.2500 0.2500 0.2500 [8 per cell]

Calculated values
For the calculated formation energy, the calculation gives -0.51 eV per atom. The uncorrected energy is -73.28 eV/cell.

## KZnRu2 (PBEsol)

Data for a relaxed KZnRu2 crystal.

a = 2.6308 Å, b = 4.0966 Å, c = 7.1945 Å
α = 90.00°, β = 90.00°, γ = 90.00°
Space group Pmmm (No. 47)
Asymmetric unit:
1 K 0.0000 0.0000 0.0000 [1 per cell]
2 Zn 0.0000 0.0000 0.5000 [1 per cell]
3 Ru 0.5000 0.5000 0.3389 [2 per cell]

Calculated values
For the calculated formation energy, the calculation gives 0.84 eV per atom. The uncorrected energy is -19.70 eV/cell.